Compound: La4NiAgCl2
Source: Alexandria
Functional: PBE-GGA
Structure: relaxed

Computed properties:
E_form (uncorrected) = -0.89 eV per atom
E_tot = -39.135 eV per cell

abc: 7.396 4.249 7.537
angles: 90.00 109.16 90.00
Space group P2/m (No. 10)
Asymmetric unit:
La 0.232 0.000 0.227 x2
La 0.253 0.500 0.771 x2
Ni 0.000 0.500 0.000 x1
Ag 0.000 0.000 0.500 x1
Cl 0.500 0.000 0.000 x1
Cl 0.500 0.500 0.500 x1



Compound: LaAgClO2
Source: Alexandria
Functional: PBE-GGA
Structure: relaxed

Computed properties:
E_form (uncorrected) = -1.77 eV per atom
E_tot = -113.623 eV per cell

abc: 5.780 12.110 5.748
angles: 90.00 90.00 90.00
Space group Cmcm (No. 63)
Asymmetric unit:
La 0.000 0.112 0.250 x4
Ag 0.000 0.467 0.250 x4
Cl 0.000 0.255 0.750 x4
O 0.225 0.000 0.000 x8